1.
Material: BaBeP2
Method: DFT, PBE
State: optimized geometry

Results
SG: No. 6
Distance to the lowest polymorph of the same formula (eV/atom): 0.303
Calculated formation energy (eV/atom): -0.2890

a = 3.7414 Å, b = 4.0143 Å, c = 5.8931 Å
α = 80.26°, β = 90.00°, γ = 90.00°
Last column: nearest neighbours and their distance in Å.
Element x y z (fractional)
Be1 0.5000 0.7087 0.9822  4 P 2.18-2.30
Ba1 0.0000 0.6225 0.4664  7 P 3.14-3.43, 2 Be 3.38
P1 0.5000 0.1824 0.1545  2 Be 2.18-2.30
P2 0.0000 0.9865 0.8970  2 Be 2.19

2.
Material: AsIr2Rh
Method: DFT, PBE
State: optimized geometry

Results
SG: No. 10
Calculated formation energy (eV/atom): 0.0613

a = 2.8311 Å, b = 4.6766 Å, c = 5.4995 Å
α = 54.64°, β = 90.00°, γ = 90.00°
Last column: nearest neighbours and their distance in Å.
Element x y z (fractional)
Rh1 0.5000 0.5000 0.5000  4 As 2.73, 6 Ir 2.75-2.76, 2 Rh 2.83
Ir1 0.0000 0.0000 0.0000  6 Ir 2.73-2.83, 2 As 2.75, 4 Rh 2.76
As1 0.0000 0.0000 0.5000  4 Rh 2.73, 6 Ir 2.75-2.76, 2 As 2.83
Ir2 0.5000 0.5000 0.0000  6 Ir 2.73-2.83, 2 Rh 2.75, 4 As 2.76

3.
Material: Mg2Ru2Rh
Method: DFT, PBE
State: optimized geometry

Results
SG: No. 127
Calculated formation energy (eV/atom): 0.2892

a = 7.0231 Å, b = 7.0231 Å, c = 3.2651 Å
α = 90.00°, β = 90.00°, γ = 90.00°
Last column: nearest neighbours and their distance in Å.
Element x y z (fractional)
Mg1 0.6808 0.8192 0.5000  6 Ru 2.58-2.69
Ru1 0.6176 0.1176 0.0000  1 Ru 2.34, 2 Mg 2.58
Ru2 0.1176 0.3824 0.0000  1 Ru 2.34, 2 Mg 2.58
Mg2 0.1808 0.6808 0.5000  6 Ru 2.58-2.69
Rh1 0.0000 0.0000 0.0000  4 Ru 2.81, 8 Mg 3.05
Rh2 0.5000 0.5000 0.0000  4 Ru 2.81, 8 Mg 3.05
Mg3 0.3192 0.1808 0.5000  6 Ru 2.58-2.69
Ru3 0.3824 0.8824 0.0000  1 Ru 2.34, 2 Mg 2.58
Mg4 0.8192 0.3192 0.5000  6 Ru 2.58-2.69
Ru4 0.8824 0.6176 0.0000  1 Ru 2.34, 2 Mg 2.58

- Look up the calculated formation energy of the first one.
  -0.2890 eV/atom